# 1
Compound: PmDyY2P4
Source: Alexandria
Functional: PBE
Structure: optimized geometry

Computed properties:
E_tot (eV per atom): -7.095
Total magnetization (μB per cell): 0.000

POSCAR file:
```
PmDyY2P4
1.0
4.0442 0.0000 0.0000
0.0000 6.9996 0.1223
0.0000 -2.4480 6.5582
Y P Dy Pm
2 4 1 1
direct
0.5000 0.0000 0.5000
0.0000 0.5000 0.5000
0.5000 0.7528 0.7482
0.0000 0.2452 0.7456
0.0000 0.7548 0.2544
0.5000 0.2472 0.2518
0.0000 0.0000 0.0000
0.5000 0.5000 0.0000
```

***

# 2
Compound: RbBi2Au2O6
Source: Alexandria
Functional: PBE
Structure: optimized geometry

Computed properties:
Uncorrected formation energy (eV per atom): -0.73
E_tot (eV per atom): -4.820
Total magnetization (μB per cell): 0.000

POSCAR file:
```
RbBi2Au2O6
1.0
6.2534 0.7027 -0.3772
3.8756 7.3623 -0.7677
-0.8393 -4.6787 5.5994
Rb Au O Bi
1 2 6 2
direct
0.5000 0.0000 0.5000
0.7815 0.2828 0.2827
0.2185 0.7172 0.7173
0.3942 0.5293 0.8403
0.6058 0.4707 0.1597
0.0265 0.8911 0.5809
0.2008 0.2944 0.9788
0.9735 0.1089 0.4191
0.7992 0.7056 0.0212
0.1572 0.6560 0.1570
0.8428 0.3440 0.8430
```

***

# 3
Compound: BaCr2CdGa
Source: Alexandria
Functional: PBE
Structure: optimized geometry

Computed properties:
E_tot (eV per atom): -4.289
Total magnetization (μB per cell): 8.610

POSCAR file:
```
BaCr2CdGa
1.0
5.0249 0.0000 0.0000
0.0000 6.2409 0.0000
0.0000 0.0000 5.0249
Cr Ba Cd Ga
2 1 1 1
direct
0.0000 0.0000 0.5000
0.5000 0.0000 0.0000
0.0000 0.5000 0.0000
0.5000 0.5000 0.5000
0.0000 0.0000 0.0000
```

***

# 4
Compound: Mg5Cd2In6
Source: Alexandria
Functional: PBE
Structure: optimized geometry

Computed properties:
E_tot (eV per atom): -2.033
Total magnetization (μB per cell): 0.000

POSCAR file:
```
Mg5Cd2In6
1.0
3.2912 0.0000 0.0000
0.0000 12.7186 0.0000
0.0000 0.0000 15.3518
In Cd Mg
12 4 10
direct
0.5000 0.3041 0.1151
0.5000 0.6959 0.8849
0.0000 0.5844 0.3715
0.0000 0.9156 0.8715
0.0000 0.1794 0.4210
0.5000 0.8041 0.3849
0.0000 0.4156 0.6285
0.0000 0.6794 0.0790
0.5000 0.1959 0.6151
0.0000 0.3206 0.9210
0.0000 0.8206 0.5790
0.0000 0.0844 0.1285
0.0000 0.6473 0.7143
0.0000 0.8527 0.2143
0.0000 0.3527 0.2857
0.0000 0.1473 0.7857
0.5000 0.5382 0.2057
0.5000 0.5000 0.0000
0.5000 0.0000 0.5000
0.5000 0.0382 0.2943
0.5000 0.9618 0.7057
0.5000 0.8865 0.0438
0.5000 0.4618 0.7943
0.5000 0.3865 0.4562
0.5000 0.6135 0.5438
0.5000 0.1135 0.9562
```

***

# 5
Compound: Ba2Na2Sr4Ca
Source: Alexandria
Functional: PBE
Structure: optimized geometry

Computed properties:
E_tot (eV per atom): -1.626
Total magnetization (μB per cell): 0.000

POSCAR file:
```
Ba2Na2Sr4Ca
1.0
7.3559 0.7169 0.6729
-0.3142 9.0622 1.2407
-2.8949 -3.7392 6.2820
Na Sr Ca Ba
2 4 1 2
direct
0.8865 0.4132 0.0683
0.1135 0.5868 0.9317
0.7373 0.6303 0.5032
0.5669 0.7615 0.0037
0.2627 0.3697 0.4968
0.4331 0.2385 0.9963
0.0000 0.0000 0.0000
0.7743 0.1498 0.5270
0.2257 0.8502 0.4730
```

***

# 6
Compound: RbBa2MnI8
Source: Alexandria
Functional: PBE
Structure: optimized geometry

Computed properties:
Uncorrected formation energy (eV per atom): -1.17
E_tot (eV per atom): -3.373
Total magnetization (μB per cell): 4.014

POSCAR file:
```
RbBa2MnI8
1.0
-0.7466 6.8088 -4.4428
-4.8195 -3.0539 -4.5432
-7.6420 3.0973 6.0412
I Ba Mn Rb
8 2 1 1
direct
0.6706 0.7708 0.0009
0.2644 0.3885 0.5001
0.8710 0.2228 0.8130
0.8724 0.2241 0.1870
0.1290 0.7772 0.1870
0.7356 0.6115 0.4999
0.1276 0.7759 0.8130
0.3294 0.2292 0.9991
0.4998 0.4991 0.2346
0.5002 0.5009 0.7654
0.0000 0.0000 0.0000
0.0000 0.0000 0.5000
```

***

# 7
Compound: TcW2Au
Source: Alexandria
Functional: PBE
Structure: optimized geometry

Computed properties:
E_tot (eV per atom): -9.272
Total magnetization (μB per cell): 0.000
E above lowest polymorph (meV/atom): 398

POSCAR file:
```
TcW2Au
1.0
0.0000 3.1917 3.1917
3.1917 0.0000 3.1917
3.1917 3.1917 0.0000
W Tc Au
2 1 1
direct
0.7500 0.7500 0.7500
0.2500 0.2500 0.2500
0.0000 0.0000 0.0000
0.5000 0.5000 0.5000
```

***

# 8
Compound: K12I3O5
Source: Alexandria
Functional: PBE
Structure: optimized geometry

Computed properties:
Uncorrected formation energy (eV per atom): -1.12
E_tot (eV per atom): -3.251
Total magnetization (μB per cell): 4.570

POSCAR file:
```
K12I3O5
1.0
-4.9044 -14.2335 -2.4777
8.8892 0.2304 12.3981
-11.9766 9.2028 2.1574
K I O
48 12 20
direct
0.1870 0.6821 0.0812
0.4188 0.1058 0.6009
0.5812 0.6870 0.6821
0.9188 0.1009 0.6058
0.6821 0.4951 0.6009
0.4951 0.8130 0.8942
0.8179 0.9188 0.3130
0.3942 0.9951 0.8130
0.6870 0.1058 0.0049
0.9951 0.6009 0.1821
0.9188 0.8179 0.8130
0.5049 0.3179 0.8991
0.3130 0.4188 0.8179
0.1009 0.1821 0.4951
0.0812 0.8991 0.3942
0.1870 0.5049 0.6058
0.8130 0.3179 0.9188
0.6058 0.0049 0.1870
0.8179 0.8991 0.0049
0.6821 0.1870 0.5812
0.1821 0.1009 0.9951
0.1009 0.9188 0.1058
0.8942 0.5812 0.8991
0.3991 0.3942 0.5812
0.6009 0.6058 0.4188
0.4951 0.6821 0.1009
0.8942 0.3130 0.4951
0.6870 0.5812 0.1821
0.3942 0.3991 0.0812
0.3130 0.8942 0.9951
0.3179 0.5049 0.3991
0.0049 0.6058 0.6870
0.1058 0.6870 0.5049
0.8991 0.8179 0.5049
0.4188 0.3130 0.3179
0.5812 0.8942 0.3991
0.6009 0.9951 0.6821
0.8130 0.4951 0.3942
0.0049 0.3991 0.8179
0.3991 0.0049 0.3179
0.1821 0.0812 0.6870
0.3179 0.8130 0.4188
0.0812 0.1821 0.1870
0.6058 0.6009 0.9188
0.8991 0.0812 0.8942
0.9951 0.3942 0.3130
0.5049 0.1870 0.1058
0.1058 0.4188 0.1009
0.2500 0.6250 0.8750
0.1250 0.8750 0.7500
0.6250 0.2500 0.3750
0.6250 0.3750 0.7500
0.3750 0.7500 0.6250
0.8750 0.7500 0.1250
0.1250 0.2500 0.8750
0.3750 0.6250 0.2500
0.7500 0.8750 0.6250
0.7500 0.3750 0.1250
0.2500 0.1250 0.3750
0.8750 0.1250 0.2500
0.2500 0.8750 0.1250
0.0000 0.0000 0.0000
0.7500 0.1250 0.8750
0.1250 0.3750 0.2500
0.8750 0.2500 0.6250
0.8750 0.6250 0.7500
0.0000 0.5000 0.5000
0.6250 0.7500 0.8750
0.1250 0.7500 0.3750
0.2500 0.3750 0.6250
0.5000 0.5000 0.5000
0.7500 0.6250 0.3750
0.0000 0.5000 0.0000
0.5000 0.0000 0.0000
0.3750 0.2500 0.1250
0.5000 0.5000 0.0000
0.6250 0.8750 0.2500
0.0000 0.0000 0.5000
0.5000 0.0000 0.5000
0.3750 0.1250 0.7500
```

***

# 9
Compound: Er5PdRh4
Source: Alexandria
Functional: PBE
Structure: optimized geometry

Computed properties:
E_tot (eV per atom): -6.678
Total magnetization (μB per cell): 0.000

POSCAR file:
```
Er5PdRh4
1.0
-0.0842 2.0091 2.7168
-3.2548 0.6817 -0.6051
-4.6625 -13.5164 9.8512
Er Pd Rh
5 1 4
direct
0.5000 0.5000 0.1043
0.5000 0.5000 0.6984
0.5000 0.5000 0.5000
0.5000 0.5000 0.3016
0.5000 0.5000 0.8957
0.0000 0.0000 0.0000
0.0000 0.0000 0.4008
0.0000 0.0000 0.2016
0.0000 0.0000 0.5992
0.0000 0.0000 0.7984
```

***

# 10
Compound: CeSc2Al
Source: Alexandria
Functional: PBE
Structure: optimized geometry

Computed properties:
E_tot (eV per atom): -5.703
Total magnetization (μB per cell): 0.000
E above lowest polymorph (meV/atom): 85

POSCAR file:
```
CeSc2Al
1.0
5.0850 0.0000 0.0000
2.5425 4.4037 0.0000
2.5425 1.4679 4.1523
Sc Al Ce
2 1 1
direct
0.0001 0.0001 0.9998
0.2499 0.2499 0.2502
0.7500 0.7500 0.7499
0.5000 0.5000 0.5001
```

***

# 11
Compound: SnB2AsO
Source: Alexandria
Functional: PBE
Structure: optimized geometry

Computed properties:
Uncorrected formation energy (eV per atom): 2.06
E_tot (eV per atom): -3.334
Total magnetization (μB per cell): 0.000

POSCAR file:
```
SnB2AsO
1.0
-2.9725 2.0751 -2.3542
1.1858 -3.2636 -4.3739
-3.0010 -2.8280 1.2965
B O As Sn
2 1 1 1
direct
0.5000 0.0000 0.0000
0.0000 0.0000 0.5000
0.5000 0.5000 0.5000
0.0000 0.5000 0.0000
0.0000 0.0000 0.0000
```

***

# 12
Compound: Ca3Sb
Source: Alexandria
Functional: PBE
Structure: optimized geometry

Computed properties:
Uncorrected formation energy (eV per atom): -0.52
E_tot (eV per atom): -3.054
Total magnetization (μB per cell): 0.622
E above lowest polymorph (meV/atom): 13

POSCAR file:
```
Ca3Sb
1.0
-6.5064 -1.0439 2.5958
3.9462 -5.5323 -1.9955
4.3974 -0.7328 10.7277
Ca Sb
12 4
direct
0.1633 0.3266 0.7500
0.0000 0.5000 0.5000
0.8367 0.6734 0.2500
0.1633 0.8367 0.7500
0.5000 0.0000 0.0000
0.5000 0.5000 0.5000
0.6734 0.8367 0.7500
0.5000 0.5000 0.0000
0.3266 0.1633 0.2500
0.8367 0.1633 0.2500
0.0000 0.5000 0.0000
0.5000 0.0000 0.5000
0.0000 0.0000 0.0000
0.6667 0.3333 0.7500
0.0000 0.0000 0.5000
0.3333 0.6667 0.2500
```

***

# 13
Compound: PuHfAs2
Source: Alexandria
Functional: PBE
Structure: optimized geometry

Computed properties:
E_tot (eV per atom): -9.027
Total magnetization (μB per cell): 1.865
E above lowest polymorph (meV/atom): 436

POSCAR file:
```
PuHfAs2
1.0
3.8735 0.0000 0.0000
0.0000 3.9081 0.0000
0.0000 -1.9541 10.6569
As Hf Pu
4 2 2
direct
0.2500 0.0690 0.1381
0.7500 0.9310 0.8619
0.7500 0.6776 0.3552
0.2500 0.3224 0.6448
0.2500 0.1947 0.3895
0.7500 0.8053 0.6105
0.7500 0.5326 0.0651
0.2500 0.4674 0.9349
```

***

# 14
Compound: Tl2HgPb
Source: Alexandria
Functional: PBE
Structure: optimized geometry

Computed properties:
E_tot (eV per atom): -2.186
Total magnetization (μB per cell): 0.000

POSCAR file:
```
Tl2HgPb
1.0
-2.2884 0.7726 2.4619
-2.5558 -1.1218 -2.0258
1.0210 -9.3231 3.8747
Tl Pb Hg
2 1 1
direct
0.0000 0.0000 0.2449
0.0000 0.0000 0.7551
0.5000 0.5000 0.5000
0.5000 0.5000 0.0000
```

***

# 15
Compound: CsInPbS3
Source: Alexandria
Functional: PBE
Structure: optimized geometry

Computed properties:
Uncorrected formation energy (eV per atom): -0.72
E_tot (eV per atom): -4.005
Total magnetization (μB per cell): 0.000

POSCAR file:
```
CsInPbS3
1.0
4.2358 0.0000 0.0000
0.0000 9.9824 1.2801
0.0000 -3.4827 10.1314
Pb S In Cs
2 6 2 2
direct
0.7500 0.3822 0.8671
0.2500 0.6178 0.1329
0.7500 0.1558 0.5021
0.7500 0.4220 0.1224
0.2500 0.1319 0.8448
0.2500 0.5780 0.8776
0.7500 0.8681 0.1552
0.2500 0.8442 0.4979
0.2500 0.0949 0.6205
0.7500 0.9051 0.3795
0.2500 0.1716 0.1768
0.7500 0.8284 0.8232
```

***

# 16
Compound: EuGeAu4
Source: Alexandria
Functional: PBE
Structure: optimized geometry

Computed properties:
E_tot (eV per atom): -4.985
Total magnetization (μB per cell): 6.967

POSCAR file:
```
EuGeAu4
1.0
5.6506 0.0000 0.0000
2.8253 4.8936 0.0000
2.8253 1.6312 4.6137
Au Eu Ge
4 1 1
direct
0.6252 0.6252 0.1245
0.6252 0.6252 0.6252
0.6252 0.1245 0.6252
0.1245 0.6252 0.6252
0.2500 0.2500 0.2500
0.0000 0.0000 0.0000
```

***

# 17
Compound: Nd3Si3Ni
Source: Alexandria
Functional: PBE
Structure: optimized geometry

Computed properties:
Uncorrected formation energy (eV per atom): -0.73
E_tot (eV per atom): -5.921
Total magnetization (μB per cell): 0.176
E above lowest polymorph (meV/atom): 0

POSCAR file:
```
Nd3Si3Ni
1.0
9.4868 0.0154 -0.0048
7.6480 5.6131 0.0048
-8.5029 -3.0107 2.9387
Si Nd Ni
3 3 1
direct
0.4419 0.4419 0.0000
0.3603 0.8603 0.5000
0.6339 0.1339 0.5000
0.8156 0.3156 0.5000
0.1810 0.6810 0.5000
0.0002 0.0002 0.0000
0.5671 0.5671 0.0000
```

***

# 18
Compound: V3FeGe2
Source: Alexandria
Functional: PBE
Structure: optimized geometry

Computed properties:
E_tot (eV per atom): -7.718
Total magnetization (μB per cell): 3.174

POSCAR file:
```
V3FeGe2
1.0
-4.1202 -2.8180 0.7646
2.4205 -4.0132 -1.7479
2.9217 2.0288 6.5449
V Fe Ge
6 2 4
direct
0.5000 0.2500 0.0000
0.5000 0.7500 0.0000
0.4509 0.6707 0.3415
0.8906 0.1707 0.3415
0.1094 0.8293 0.6585
0.5491 0.3293 0.6585
0.0000 0.7500 0.0000
0.0000 0.2500 0.0000
0.3624 0.1375 0.2751
0.6376 0.8625 0.7249
0.9127 0.6375 0.2751
0.0873 0.3625 0.7249
```

***

# 19
Compound: TbCdPdO4
Source: Alexandria
Functional: PBE
Structure: optimized geometry

Computed properties:
Uncorrected formation energy (eV per atom): -1.62
E_tot (eV per atom): -5.983
Total magnetization (μB per cell): 0.000

POSCAR file:
```
TbCdPdO4
1.0
-3.7394 5.8102 -0.4639
0.2267 -3.5498 5.4013
5.5105 3.3530 -2.4227
Pd O Tb Cd
2 8 2 2
direct
0.0000 0.5000 0.5000
0.5000 0.5000 0.5000
0.2926 0.0151 0.2576
0.7682 0.5365 0.3177
0.2318 0.4635 0.2813
0.7074 0.9849 0.7424
0.2318 0.4635 0.6823
0.7682 0.5365 0.7187
0.2775 0.9849 0.7424
0.7225 0.0151 0.2576
0.5000 0.0000 0.0000
0.5000 0.0000 0.5000
0.8952 0.7905 0.1452
0.1048 0.2095 0.8548
```